Here is an optimized crystal structure of CeGaF4 from the Alexandria database. Energies are from PBE.

The structure in extended XYZ format:
```
6
Lattice="6.484 0.000 0.000 0.000 6.484 0.000 -3.242 -3.242 2.628" Properties=species:S:1:pos:R:3 pbc="T T T"
Ce 3.242 0.000 1.314
Ga 3.242 3.242 0.000
F 1.201 4.566 0.024
F 5.283 1.919 0.024
F -1.323 -2.041 2.603
F 1.323 2.041 2.603
```

Output
The value obtained for the formation energy without anion corrections is -2888.5 meV per atom. The calculation puts the total DFT energy (no corrections) at -5.63 eV per atom.